# NaVAsO6 | Alexandria via LeMat-Bulk | PBE+U | relaxed
data_NaVAsO6
_space_group_name_H-M_alt 'P 3 1 2'
_space_group_IT_number 149
_cell_length_a 5.0192
_cell_length_b 5.0192
_cell_length_c 5.1480
_cell_angle_alpha 90.00
_cell_angle_beta 90.00
_cell_angle_gamma 120.00
loop_
_space_group_symop_operation_xyz
'x,y,z'
'-y,x-y,z'
'-x+y,-x,z'
'-y,-x,-z'
'-x+y,y,-z'
'x,x-y,-z'
loop_
_atom_site_label
_atom_site_fract_x
_atom_site_fract_y
_atom_site_fract_z
_atom_site_occupancy
Na1 0.0000 0.0000 0.0000 1
V1 0.3333 0.6667 0.5000 1
As1 0.6667 0.3333 0.5000 1
O1 0.3820 0.0068 0.7003 1
# uncorrected energy	-6.160	eV per atom
# spin magnetization	0.12	μB/atom
# crystal system	trigonal